Entry 1:
The following is a DFT calculation (PBE-GGA) of crystalline Rb2Pa3PdO12 at its relaxed geometry.

abc: 7.755 7.755 7.755
angles: 62.42 62.42 62.42
Sites, in units of the cell vectors:
Rb1 0.134 0.134 0.134
Rb2 0.866 0.866 0.866
Pa1 0.000 0.500 0.500
Pa2 0.500 0.000 0.500
Pa3 0.500 0.500 0.000
Pd1 0.500 0.500 0.500
O1 0.177 0.177 0.557
O2 0.177 0.557 0.177
O3 0.204 0.560 0.560
O4 0.440 0.440 0.796
O5 0.440 0.796 0.440
O6 0.443 0.823 0.823
O7 0.557 0.177 0.177
O8 0.560 0.204 0.560
O9 0.560 0.560 0.204
O10 0.796 0.440 0.440
O11 0.823 0.443 0.823
O12 0.823 0.823 0.443

Calculated values
Raw total energy, eV/atom: -7.59
Crystal system: trigonal
Space-group type: No. 166
Uncorrected formation energy, eV/atom: -2.307
Calculated volume, Å³/atom: 19.3

Entry 2:
The following is a DFT calculation (PBE-GGA) of crystalline Sc4Zn at its relaxed geometry.

abc: 3.265 3.265 21.011
angles: 90.00 90.00 90.00
Sites, in units of the cell vectors:
Sc1 0.000 0.000 0.084
Sc2 0.000 0.000 0.304
Sc3 0.000 0.000 0.696
Sc4 0.000 0.000 0.916
Sc5 0.500 0.500 0.196
Sc6 0.500 0.500 0.416
Sc7 0.500 0.500 0.584
Sc8 0.500 0.500 0.804
Zn1 0.000 0.000 0.500
Zn2 0.500 0.500 0.000

Calculated values
DFT formation energy, meV per atom: -117
Raw total energy, eV/atom: -5.44
Crystal system: tetragonal
Space-group type: No. 139
Offset from the most stable computed form, eV/f.u.: 0.00
Calculated volume, Å³/atom: 22.4

> What is the calculated volume in the first record?

19.3 Å³/atom